Compound: TbDy4Pu3S8
Source: Alexandria
Functional: GGA-PBE
Structure: relaxed

Structure (CIF):
```
data_TbDy4Pu3S8
_space_group_name_H-M_alt 'P 1'
_space_group_IT_number 1
_cell_length_a 7.867
_cell_length_b 7.867
_cell_length_c 7.867
_cell_angle_alpha 59.72
_cell_angle_beta 59.72
_cell_angle_gamma 59.72
loop_
_space_group_symop_operation_xyz
'x,y,z'
loop_
_atom_site_label
_atom_site_type_symbol
_atom_site_fract_x
_atom_site_fract_y
_atom_site_fract_z
_atom_site_occupancy
Tb1 Tb 0.000 0.000 0.000 1
Dy1 Dy 0.000 0.000 0.500 1
Dy2 Dy 0.000 0.500 0.000 1
Dy3 Dy 0.500 0.000 0.000 1
Dy4 Dy 0.500 0.500 0.500 1
Pu1 Pu 0.000 0.500 0.500 1
Pu2 Pu 0.500 0.000 0.500 1
Pu3 Pu 0.500 0.500 0.000 1
S1 S 0.248 0.749 0.749 1
S2 S 0.249 0.249 0.249 1
S3 S 0.251 0.251 0.752 1
S4 S 0.251 0.752 0.251 1
S5 S 0.749 0.248 0.749 1
S6 S 0.749 0.749 0.248 1
S7 S 0.751 0.751 0.751 1
S8 S 0.752 0.251 0.251 1
```

Calculated values
ΔE_f (raw): -31.03 eV per formula unit

Compound: DyPuTe2S
Source: Alexandria
Functional: GGA-PBE
Structure: relaxed

Structure (CIF):
```
data_DyPuTe2S
_space_group_name_H-M_alt 'P 1'
_space_group_IT_number 1
_cell_length_a 4.380
_cell_length_b 4.380
_cell_length_c 15.525
_cell_angle_alpha 90.00
_cell_angle_beta 90.00
_cell_angle_gamma 90.00
loop_
_space_group_symop_operation_xyz
'x,y,z'
loop_
_atom_site_label
_atom_site_type_symbol
_atom_site_fract_x
_atom_site_fract_y
_atom_site_fract_z
_atom_site_occupancy
Dy1 Dy 0.250 0.250 0.112 1
Dy2 Dy 0.750 0.750 0.888 1
Pu1 Pu 0.250 0.250 0.602 1
Pu2 Pu 0.750 0.750 0.398 1
Te1 Te 0.250 0.250 0.301 1
Te2 Te 0.250 0.250 0.905 1
Te3 Te 0.750 0.750 0.095 1
Te4 Te 0.750 0.750 0.699 1
S1 S 0.250 0.750 0.500 1
S2 S 0.750 0.250 0.500 1
```

Calculated values
ΔE_f (raw): -6.57 eV per formula unit

Compound: DyPuTeS
Source: Alexandria
Functional: GGA-PBE
Structure: relaxed

Structure (CIF):
```
data_DyPuTeS
_space_group_name_H-M_alt 'P 1'
_space_group_IT_number 1
_cell_length_a 4.086
_cell_length_b 4.086
_cell_length_c 21.109
_cell_angle_alpha 90.00
_cell_angle_beta 90.00
_cell_angle_gamma 120.00
loop_
_space_group_symop_operation_xyz
'x,y,z'
loop_
_atom_site_label
_atom_site_type_symbol
_atom_site_fract_x
_atom_site_fract_y
_atom_site_fract_z
_atom_site_occupancy
Dy1 Dy 0.000 0.000 0.000 1
Dy2 Dy 0.333 0.667 0.667 1
Dy3 Dy 0.667 0.333 0.333 1
Pu1 Pu 0.000 0.000 0.474 1
Pu2 Pu 0.333 0.667 0.141 1
Pu3 Pu 0.667 0.333 0.807 1
Te1 Te 0.000 0.000 0.239 1
Te2 Te 0.333 0.667 0.906 1
Te3 Te 0.667 0.333 0.572 1
S1 S 0.000 0.000 0.736 1
S2 S 0.333 0.667 0.402 1
S3 S 0.667 0.333 0.069 1
```

Calculated values
ΔE_f (raw): -6.17 eV per formula unit

Compound: DyPu2Te2S2
Source: Alexandria
Functional: GGA-PBE
Structure: relaxed

Structure (CIF):
```
data_DyPu2Te2S2
_space_group_name_H-M_alt 'P 1'
_space_group_IT_number 1
_cell_length_a 5.086
_cell_length_b 5.086
_cell_length_c 15.871
_cell_angle_alpha 90.00
_cell_angle_beta 90.00
_cell_angle_gamma 90.00
loop_
_space_group_symop_operation_xyz
'x,y,z'
loop_
_atom_site_label
_atom_site_type_symbol
_atom_site_fract_x
_atom_site_fract_y
_atom_site_fract_z
_atom_site_occupancy
Dy1 Dy 0.000 0.000 0.000 1
Dy2 Dy 0.500 0.500 0.500 1
Pu1 Pu 0.000 0.000 0.384 1
Pu2 Pu 0.000 0.000 0.616 1
Pu3 Pu 0.500 0.500 0.116 1
Pu4 Pu 0.500 0.500 0.884 1
Te1 Te 0.000 0.000 0.188 1
Te2 Te 0.000 0.000 0.812 1
Te3 Te 0.500 0.500 0.312 1
Te4 Te 0.500 0.500 0.688 1
S1 S 0.000 0.500 0.000 1
S2 S 0.000 0.500 0.500 1
S3 S 0.500 0.000 0.000 1
S4 S 0.500 0.000 0.500 1
```

Calculated values
ΔE_f (raw): -8.89 eV per formula unit

Total moment values (in μB per cell) by entry order: 17.175; 9.584; 17.495; 21.974.
Density of states at the Fermi level values (in states/eV per atom) by entry order: 1.4300; 1.6450; 1.8851; 3.5517.